# Ba6Na2Ca, relaxed, DFT GGA-PBE
# Polymorph energy (0 for the lowest one) (meV per atom): 39
# Calculated density (g cm⁻³): 2.983
# Formation energy from the elements (eV/f.u.): 0.7
# DOS(E_F) (states/eV/cell): 12.370
# DFT total energy (eV per atom): -1.72
# Magnetization (μB/atom): 0.000
data_Ba6Na2Ca
_cell_length_a 4.3148
_cell_length_b 4.3148
_cell_length_c 31.4223
_cell_angle_alpha 90.00
_cell_angle_beta 90.00
_cell_angle_gamma 120.00
_symmetry_space_group_name_H-M 'P -6 m 2'
_symmetry_Int_Tables_number 187
_symmetry_space_group_name_Hall 'P -6 2'
loop_
_atom_site_label
_atom_site_fract_x
_atom_site_fract_y
_atom_site_fract_z
_atom_site_occupancy
Ba1 0.0000 0.0000 0.0643 1
Ba2 0.0000 0.0000 0.2735 1
Ba3 0.3333 0.6667 0.3916 1
Na1 0.3333 0.6667 0.1679 1
Ca1 0.0000 0.0000 0.5000 1



# Ba2NaCa, relaxed, DFT GGA-PBE
# Polymorph energy (0 for the lowest one) (meV per atom): 148
# Calculated density (g cm⁻³): 2.774
# Formation energy from the elements (eV/f.u.): 0.7
# DOS(E_F) (states/eV/cell): 12.631
# DFT total energy (eV per atom): -1.62
# Magnetization (μB/atom): 0.000
data_Ba2NaCa
_cell_length_a 4.0539
_cell_length_b 4.0539
_cell_length_c 42.6052
_cell_angle_alpha 90.00
_cell_angle_beta 90.00
_cell_angle_gamma 120.00
_symmetry_space_group_name_H-M 'R -3 m'
_symmetry_Int_Tables_number 166
_symmetry_space_group_name_Hall '-R 3 2"'
loop_
_atom_site_label
_atom_site_fract_x
_atom_site_fract_y
_atom_site_fract_z
_atom_site_occupancy
Ba1 0.0000 0.0000 0.0874 1
Na1 0.0000 0.0000 0.5000 1
Ca1 0.0000 0.0000 0.0000 1



# Ba3Na2Ca2, relaxed, DFT GGA-PBE
# Calculated density (g cm⁻³): 2.502
# Formation energy from the elements (eV/f.u.): 0.4
# DOS(E_F) (states/eV/cell): 14.164
# DFT total energy (eV per atom): -1.72
# Magnetization (μB/atom): 0.000
data_Ba3Na2Ca2
_cell_length_a 6.315
_cell_length_b 27.618
_cell_length_c 4.096
_cell_angle_alpha 90.00
_cell_angle_beta 90.00
_cell_angle_gamma 90.00
_symmetry_space_group_name_H-M 'C m m m'
_symmetry_Int_Tables_number 65
_symmetry_space_group_name_Hall '-C 2 2'
loop_
_atom_site_label
_atom_site_fract_x
_atom_site_fract_y
_atom_site_fract_z
_atom_site_occupancy
Ba1 0.000 0.000 0.000 1
Ba2 0.000 0.150 0.000 1
Na1 0.000 0.425 0.500 1
Ca1 0.000 0.285 0.500 1



# Ba2Na2Ca, relaxed, DFT GGA-PBE
# Polymorph energy (0 for the lowest one) (meV per atom): 17
# Calculated density (g cm⁻³): 2.414
# Formation energy from the elements (eV/f.u.): 0.2
# DOS(E_F) (states/eV/cell): 18.825
# DFT total energy (eV per atom): -1.66
# Magnetization (μB/atom): 0.000
data_Ba2Na2Ca
_cell_length_a 9.826
_cell_length_b 9.826
_cell_length_c 10.281
_cell_angle_alpha 90.00
_cell_angle_beta 90.00
_cell_angle_gamma 90.00
_symmetry_space_group_name_H-M 'P 4/m n c'
_symmetry_Int_Tables_number 128
_symmetry_space_group_name_Hall '-P 4 2n'
loop_
_atom_site_label
_atom_site_fract_x
_atom_site_fract_y
_atom_site_fract_z
_atom_site_occupancy
Ba1 0.175 0.318 0.000 1
Na1 0.123 0.623 0.250 1
Ca1 0.000 0.000 0.262 1



# BaNaCa3, relaxed, DFT GGA-PBE
# Polymorph energy (0 for the lowest one) (meV per atom): 712
# Calculated density (g cm⁻³): 1.646
# Formation energy from the elements (eV/f.u.): 3.9
# DOS(E_F) (states/eV/cell): 3.200
# DFT total energy (eV per atom): -1.07
# Magnetization (μB/atom): 0.601
data_BaNaCa3
_cell_length_a 6.565
_cell_length_b 6.565
_cell_length_c 6.565
_cell_angle_alpha 90.00
_cell_angle_beta 90.00
_cell_angle_gamma 90.00
_symmetry_space_group_name_H-M 'P m -3 m'
_symmetry_Int_Tables_number 221
_symmetry_space_group_name_Hall '-P 4 2 3'
loop_
_atom_site_label
_atom_site_fract_x
_atom_site_fract_y
_atom_site_fract_z
_atom_site_occupancy
Ba1 0.000 0.000 0.000 1
Na1 0.500 0.500 0.500 1
Ca1 0.000 0.000 0.500 1



# Ba4Na2Ca, relaxed, DFT GGA-PBE
# Polymorph energy (0 for the lowest one) (meV per atom): 25
# Calculated density (g cm⁻³): 2.572
# Formation energy from the elements (eV/f.u.): 1.1
# DOS(E_F) (states/eV/cell): 31.057
# DFT total energy (eV per atom): -1.60
# Magnetization (μB/atom): 0.000
data_Ba4Na2Ca
_cell_length_a 6.7368
_cell_length_b 6.7368
_cell_length_c 31.3162
_cell_angle_alpha 90.00
_cell_angle_beta 90.00
_cell_angle_gamma 120.00
_symmetry_space_group_name_H-M 'R -3 m'
_symmetry_Int_Tables_number 166
_symmetry_space_group_name_Hall '-R 3 2"'
loop_
_atom_site_label
_atom_site_fract_x
_atom_site_fract_y
_atom_site_fract_z
_atom_site_occupancy
Ba1 0.0000 0.0000 0.1242 1
Ba2 0.0000 0.0000 0.2654 1
Na1 0.0000 0.0000 0.3879 1
Ca1 0.0000 0.0000 0.5000 1



# Ba2NaCa8, relaxed, DFT GGA-PBE
# Polymorph energy (0 for the lowest one) (meV per atom): 0
# Calculated density (g cm⁻³): 2.065
# Formation energy from the elements (eV/f.u.): 0.5
# DOS(E_F) (states/eV/cell): 26.842
# DFT total energy (eV per atom): -1.88
# Magnetization (μB/atom): 0.000
data_Ba2NaCa8
_cell_length_a 20.368
_cell_length_b 5.666
_cell_length_c 8.945
_cell_angle_alpha 90.00
_cell_angle_beta 105.54
_cell_angle_gamma 90.00
_symmetry_space_group_name_H-M 'C 1 2/m 1'
_symmetry_Int_Tables_number 12
loop_
_symmetry_equiv_pos_as_xyz
'x,y,z'
'-x,-y,-z'
'-x,y,-z'
'x,-y,z'
'x+1/2,y+1/2,z'
'-x+1/2,-y+1/2,-z'
'-x+1/2,y+1/2,-z'
'x+1/2,-y+1/2,z'
loop_
_atom_site_label
_atom_site_fract_x
_atom_site_fract_y
_atom_site_fract_z
_atom_site_occupancy
Ba1 0.223 0.000 0.140 1
Na1 0.000 0.500 0.500 1
Ca1 0.040 0.000 0.222 1
Ca2 0.084 0.500 0.940 1
Ca3 0.131 0.000 0.662 1
Ca4 0.176 0.500 0.405 1



# BaNaCa, relaxed, DFT GGA-PBE
# Polymorph energy (0 for the lowest one) (meV per atom): 45
# Calculated density (g cm⁻³): 2.315
# Formation energy from the elements (eV/f.u.): 0.2
# DOS(E_F) (states/eV/cell): 14.650
# DFT total energy (eV per atom): -1.69
# Magnetization (μB/atom): 0.000
data_BaNaCa
_cell_length_a 7.104
_cell_length_b 4.104
_cell_length_c 19.726
_cell_angle_alpha 90.00
_cell_angle_beta 90.00
_cell_angle_gamma 90.00
_symmetry_space_group_name_H-M 'C 1 m 1'
_symmetry_Int_Tables_number 8
loop_
_symmetry_equiv_pos_as_xyz
'x,y,z'
'x,-y,z'
'x+1/2,y+1/2,z'
'x+1/2,-y+1/2,z'
loop_
_atom_site_label
_atom_site_fract_x
_atom_site_fract_y
_atom_site_fract_z
_atom_site_occupancy
Ba1 0.000 0.000 0.000 1
Ba2 0.000 0.000 0.495 1
Na1 0.168 0.500 0.171 1
Na2 0.336 0.000 0.324 1
Ca1 0.168 0.500 0.827 1
Ca2 0.334 0.000 0.668 1



# Ba6NaCa2, relaxed, DFT GGA-PBE
# Polymorph energy (0 for the lowest one) (meV per atom): 45
# Calculated density (g cm⁻³): 3.019
# Formation energy from the elements (eV/f.u.): 1.0
# DOS(E_F) (states/eV/cell): 23.036
# DFT total energy (eV per atom): -1.77
# Magnetization (μB/atom): 0.000
data_Ba6NaCa2
_cell_length_a 14.263
_cell_length_b 11.546
_cell_length_c 7.155
_cell_angle_alpha 90.00
_cell_angle_beta 120.05
_cell_angle_gamma 90.00
_symmetry_space_group_name_H-M 'C 1 2/m 1'
_symmetry_Int_Tables_number 12
loop_
_symmetry_equiv_pos_as_xyz
'x,y,z'
'-x,-y,-z'
'-x,y,-z'
'x,-y,z'
'x+1/2,y+1/2,z'
'-x+1/2,-y+1/2,-z'
'-x+1/2,y+1/2,-z'
'x+1/2,-y+1/2,z'
loop_
_atom_site_label
_atom_site_fract_x
_atom_site_fract_y
_atom_site_fract_z
_atom_site_occupancy
Ba1 0.000 0.180 0.000 1
Ba2 0.166 0.317 0.666 1
Na1 0.000 0.000 0.500 1
Ca1 0.164 0.500 0.165 1



# Ba2NaCa, relaxed, DFT GGA-PBE
# Polymorph energy (0 for the lowest one) (meV per atom): 33
# Calculated density (g cm⁻³): 2.625
# Formation energy from the elements (eV/f.u.): 0.2
# DOS(E_F) (states/eV/cell): 29.343
# DFT total energy (eV per atom): -1.73
# Magnetization (μB/atom): 0.000
data_Ba2NaCa
_cell_length_a 9.489
_cell_length_b 9.489
_cell_length_c 9.489
_cell_angle_alpha 90.00
_cell_angle_beta 90.00
_cell_angle_gamma 90.00
_symmetry_space_group_name_H-M 'F m -3 m'
_symmetry_Int_Tables_number 225
_symmetry_space_group_name_Hall '-F 4 2 3'
loop_
_atom_site_label
_atom_site_fract_x
_atom_site_fract_y
_atom_site_fract_z
_atom_site_occupancy
Ba1 0.250 0.250 0.250 1
Na1 0.000 0.000 0.000 1
Ca1 0.000 0.000 0.500 1



# BaNaCa3, relaxed, DFT GGA-PBE
# Polymorph energy (0 for the lowest one) (meV per atom): 192
# Calculated density (g cm⁻³): 1.897
# Formation energy from the elements (eV/f.u.): 1.3
# DOS(E_F) (states/eV/cell): 6.708
# DFT total energy (eV per atom): -1.59
# Magnetization (μB/atom): 0.000
data_BaNaCa3
_cell_length_a 6.262
_cell_length_b 6.262
_cell_length_c 6.262
_cell_angle_alpha 90.00
_cell_angle_beta 90.00
_cell_angle_gamma 90.00
_symmetry_space_group_name_H-M 'P m -3 m'
_symmetry_Int_Tables_number 221
_symmetry_space_group_name_Hall '-P 4 2 3'
loop_
_atom_site_label
_atom_site_fract_x
_atom_site_fract_y
_atom_site_fract_z
_atom_site_occupancy
Ba1 0.000 0.000 0.000 1
Na1 0.500 0.500 0.500 1
Ca1 0.000 0.500 0.500 1



# Ba3NaCa4, relaxed, DFT GGA-PBE
# Calculated density (g cm⁻³): 2.499
# Formation energy from the elements (eV/f.u.): 0.4
# DOS(E_F) (states/eV/cell): 9.634
# DFT total energy (eV per atom): -1.84
# Magnetization (μB/atom): 0.000
data_Ba3NaCa4
_cell_length_a 4.433
_cell_length_b 4.433
_cell_length_c 20.124
_cell_angle_alpha 90.00
_cell_angle_beta 90.00
_cell_angle_gamma 90.00
_symmetry_space_group_name_H-M 'P 4/m m m'
_symmetry_Int_Tables_number 123
_symmetry_space_group_name_Hall '-P 4 2'
loop_
_atom_site_label
_atom_site_fract_x
_atom_site_fract_y
_atom_site_fract_z
_atom_site_occupancy
Ba1 0.000 0.000 0.000 1
Ba2 0.000 0.000 0.263 1
Na1 0.000 0.000 0.500 1
Ca1 0.500 0.500 0.131 1
Ca2 0.500 0.500 0.399 1



# Ba2Na15Ca2, relaxed, DFT GGA-PBE
# Calculated density (g cm⁻³): 1.497
# Formation energy from the elements (eV/f.u.): 0.6
# DOS(E_F) (states/eV/cell): 38.116
# DFT total energy (eV per atom): -1.42
# Magnetization (μB/atom): 0.000
data_Ba2Na15Ca2
_cell_length_a 12.2991
_cell_length_b 12.2991
_cell_length_c 17.7721
_cell_angle_alpha 90.00
_cell_angle_beta 90.00
_cell_angle_gamma 120.00
_symmetry_space_group_name_H-M 'R -3 m'
_symmetry_Int_Tables_number 166
_symmetry_space_group_name_Hall '-R 3 2"'
loop_
_atom_site_label
_atom_site_fract_x
_atom_site_fract_y
_atom_site_fract_z
_atom_site_occupancy
Ba1 0.0000 0.0000 0.1544 1
Na1 0.0000 0.2918 0.5000 1
Na2 0.0000 0.5000 0.0000 1
Na3 0.0034 0.5017 0.6465 1
Ca1 0.0000 0.0000 0.3956 1